[1]
# TbPm2Sm5Er

A geometry-optimized TbPm2Sm5Er structure (PBE-GGA, the Alexandria database).

abc: 8.662 8.662 16.177
angles: 90.00 90.00 90.00
Space group I4/mcm (No. 140)
Unique sites:
Tb  0.000  0.000  0.250 (multiplicity 4)
Pm  0.119  0.381  0.000 (multiplicity 8)
Sm  0.000  0.000  0.000 (multiplicity 4)
Sm  0.213  0.287  0.359 (multiplicity 16)
Er  0.000  0.500  0.250 (multiplicity 4)

Calculated values
- Uncorrected energy: -4.418 eV per atom
- DFT formation energy: 0.280 eV per atom
- Total moment: 0.00 μB/atom
- Crystal system: tetragonal

=====

[2]
# Tb5PmSm2Er

A geometry-optimized Tb5PmSm2Er structure (PBE-GGA, the Alexandria database).

abc: 8.752 8.752 15.439
angles: 90.00 90.00 90.00
Space group I4/mcm (No. 140)
Unique sites:
Tb  0.000  0.000  0.000 (multiplicity 4)
Tb  0.209  0.291  0.137 (multiplicity 16)
Pm  0.000  0.000  0.250 (multiplicity 4)
Sm  0.116  0.384  0.500 (multiplicity 8)
Er  0.000  0.500  0.250 (multiplicity 4)

Calculated values
- Uncorrected energy: -4.377 eV per atom
- DFT formation energy: 0.279 eV per atom
- Total moment: 0.00 μB/atom
- Crystal system: tetragonal

=====

[3]
# TbPm3Sm6Er2

A geometry-optimized TbPm3Sm6Er2 structure (PBE-GGA, the Alexandria database).

abc: 6.254 10.830 11.942
angles: 90.00 100.04 90.00
Space group C2/m (No. 12)
Unique sites:
Tb  0.000  0.000  0.000 (multiplicity 2)
Pm  0.000  0.167  0.500 (multiplicity 4)
Pm  0.000  0.500  0.500 (multiplicity 2)
Sm  0.249  0.167  0.246 (multiplicity 8)
Sm  0.249  0.500  0.246 (multiplicity 4)
Er  0.000  0.333  0.000 (multiplicity 4)

Calculated values
- Uncorrected energy: -4.678 eV per atom
- DFT formation energy: 0.016 eV per atom
- Total moment: 0.00 μB/atom
- Crystal system: monoclinic

=====

[4]
# Tb2Pm3Sm6Er

A geometry-optimized Tb2Pm3Sm6Er structure (PBE-GGA, the Alexandria database).

abc: 6.261 10.842 11.969
angles: 90.00 100.04 90.00
Space group C2/m (No. 12)
Unique sites:
Tb  0.000  0.167  0.000 (multiplicity 4)
Pm  0.000  0.000  0.500 (multiplicity 2)
Pm  0.000  0.333  0.500 (multiplicity 4)
Sm  0.249  0.334  0.247 (multiplicity 8)
Sm  0.250  0.000  0.247 (multiplicity 4)
Er  0.000  0.500  0.000 (multiplicity 2)

Calculated values
- Uncorrected energy: -4.685 eV per atom
- DFT formation energy: 0.015 eV per atom
- Total moment: 0.00 μB/atom
- Crystal system: monoclinic

=====

[5]
# TbPm3SmEr

A geometry-optimized TbPm3SmEr structure (PBE-GGA, the Alexandria database).

abc: 8.058 5.113 10.200
angles: 90.00 108.54 90.00
Space group P2_1/m (No. 11)
Unique sites:
Tb  0.001  0.250  0.374 (multiplicity 2)
Pm  0.330  0.750  0.958 (multiplicity 2)
Pm  0.331  0.250  0.708 (multiplicity 2)
Pm  0.331  0.750  0.457 (multiplicity 2)
Sm  0.330  0.250  0.207 (multiplicity 2)
Er  0.000  0.250  0.876 (multiplicity 2)

Calculated values
- Uncorrected energy: -4.675 eV per atom
- DFT formation energy: 0.019 eV per atom
- Total moment: 0.00 μB/atom
- Crystal system: monoclinic

=====

[6]
# Tb2PmSm2Er2

A geometry-optimized Tb2PmSm2Er2 structure (PBE-GGA, the Alexandria database).

abc: 11.273 3.444 12.407
angles: 90.00 103.46 90.00
Space group C2/m (No. 12)
Unique sites:
Tb  0.086  0.000  0.289 (multiplicity 4)
Pm  0.000  0.000  0.000 (multiplicity 2)
Sm  0.229  0.000  0.859 (multiplicity 4)
Er  0.155  0.000  0.570 (multiplicity 4)

Calculated values
- Uncorrected energy: -4.439 eV per atom
- DFT formation energy: 0.215 eV per atom
- Total moment: 0.00 μB/atom
- Crystal system: monoclinic

=====

[7]
# TbPm6Sm3Er2

A geometry-optimized TbPm6Sm3Er2 structure (PBE-GGA, the Alexandria database).

abc: 6.267 10.854 11.936
angles: 90.00 100.06 90.00
Space group C2/m (No. 12)
Unique sites:
Tb  0.000  0.000  0.000 (multiplicity 2)
Pm  0.249  0.167  0.247 (multiplicity 8)
Pm  0.249  0.500  0.247 (multiplicity 4)
Sm  0.000  0.167  0.500 (multiplicity 4)
Sm  0.000  0.500  0.500 (multiplicity 2)
Er  0.000  0.333  0.000 (multiplicity 4)

Calculated values
- Uncorrected energy: -4.687 eV per atom
- DFT formation energy: 0.014 eV per atom
- Total moment: 0.00 μB/atom
- Crystal system: monoclinic

=====

[8]
# Tb5Pm2SmEr

A geometry-optimized Tb5Pm2SmEr structure (PBE-GGA, the Alexandria database).

abc: 8.701 8.701 15.620
angles: 90.00 90.00 90.00
Space group I4/mcm (No. 140)
Unique sites:
Tb  0.000  0.000  0.000 (multiplicity 4)
Tb  0.211  0.289  0.139 (multiplicity 16)
Pm  0.117  0.383  0.500 (multiplicity 8)
Sm  0.000  0.000  0.250 (multiplicity 4)
Er  0.000  0.500  0.250 (multiplicity 4)

Calculated values
- Uncorrected energy: -4.385 eV per atom
- DFT formation energy: 0.275 eV per atom
- Total moment: 0.00 μB/atom
- Crystal system: tetragonal

=====

[9]
# TbPm2Sm2Er4

A geometry-optimized TbPm2Sm2Er4 structure (PBE-GGA, the Alexandria database).

abc: 18.698 3.602 9.580
angles: 90.00 115.78 90.00
Space group C2/m (No. 12)
Unique sites:
Tb  0.000  0.000  0.000 (multiplicity 2)
Pm  0.166  0.500  0.002 (multiplicity 4)
Sm  0.147  0.000  0.663 (multiplicity 4)
Er  0.019  0.500  0.333 (multiplicity 4)
Er  0.185  0.000  0.336 (multiplicity 4)

Calculated values
- Uncorrected energy: -4.646 eV per atom
- DFT formation energy: 0.001 eV per atom
- Total moment: 0.00 μB/atom
- Crystal system: monoclinic

=====

[10]
# TbPm2SmEr5

A geometry-optimized TbPm2SmEr5 structure (PBE-GGA, the Alexandria database).

abc: 8.605 8.605 15.540
angles: 90.00 90.00 90.00
Space group I4/mcm (No. 140)
Unique sites:
Tb  0.000  0.000  0.250 (multiplicity 4)
Pm  0.117  0.383  0.000 (multiplicity 8)
Sm  0.000  0.500  0.250 (multiplicity 4)
Er  0.000  0.000  0.000 (multiplicity 4)
Er  0.210  0.290  0.361 (multiplicity 16)

Calculated values
- Uncorrected energy: -4.365 eV per atom
- DFT formation energy: 0.265 eV per atom
- Total moment: 0.00 μB/atom
- Crystal system: tetragonal